No. 1
Computed, not measured: an optimized crystal structure of SrCuS2N at the GGA-PBE level of DFT.

The value obtained for the energy above the most stable polymorph in this dataset is 0.0000 eV/atom.

The structure belongs to space group P4/mmm (No. 123); the cell edges are 4.876, 4.876 and 3.810 Å and the angles 90.00°, 90.00° and 90.00°. The distinct sites, in fractional coordinates, are Sr at (0.000, 0.000, 0.000), Cu at (0.500, 0.500, 0.500), S at (0.000, 0.500, 0.500) and N at (0.500, 0.500, 0.000).



No. 2
Computed, not measured: an optimized crystal structure of Al2TeHN at the GGA-PBE level of DFT.

As for the electronic total energy: -3.0284 eV/atom.

The structure belongs to space group P4/mmm (No. 123); the cell edges are 5.323, 5.323 and 3.599 Å and the angles 90.00°, 90.00° and 90.00°. The distinct sites, in fractional coordinates, are Al at (0.000, 0.500, 0.000), Te at (0.000, 0.000, 0.000), H at (0.000, 0.000, 0.500) and N at (0.500, 0.500, 0.500).



No. 3
Computed, not measured: an optimized crystal structure of Sm5Er4Tm4 at the GGA-PBE level of DFT.

The calculation puts the formation energy from the elements at 0.021 eV/atom.

The structure belongs to space group I4/m (No. 87); the cell edges are 12.797, 12.797 and 5.006 Å and the angles 90.00°, 90.00° and 90.00°. The distinct sites, in fractional coordinates, are Sm at (0.000, 0.000, 0.000), Sm at (0.039, 0.806, 0.500), Er at (0.076, 0.614, 0.000) and Tm at (0.155, 0.233, 0.000).



No. 4
Computed, not measured: an optimized crystal structure of Y3AgPt8 at the GGA-PBE level of DFT.

The calculation puts the formation energy from the elements at -0.939 eV/atom.

The structure belongs to space group R3m (No. 160, hexagonal axes); the cell edges are 5.4145, 5.4145 and 26.4824 Å and the angles 90.00°, 90.00° and 120.00°. The distinct sites, in fractional coordinates, are Y at (0.0000, 0.0000, 0.0000), Y at (0.0000, 0.0000, 0.1299), Y at (0.0000, 0.0000, 0.6122), Ag at (0.0000, 0.0000, 0.4930), Pt at (0.0000, 0.0000, 0.3103), Pt at (0.0000, 0.0000, 0.8104), Pt at (0.0031, 0.5016, 0.5611) and Pt at (0.1669, 0.3339, 0.3927).



No. 5
Computed, not measured: an optimized crystal structure of TaHg2Au at the GGA-PBE level of DFT.

The calculation puts the formation energy from the elements at 0.468 eV/atom. The value obtained for the energy above the most stable polymorph in this dataset is 0.2865 eV/atom.

The structure belongs to space group I-4m2 (No. 119); the cell edges are 4.301, 4.301 and 8.509 Å and the angles 90.00°, 90.00° and 90.00°. The distinct sites, in fractional coordinates, are Ta at (0.000, 0.000, 0.000), Hg at (0.000, 0.000, 0.500), Hg at (0.000, 0.500, 0.250) and Au at (0.000, 0.500, 0.750).



No. 6
Computed, not measured: an optimized crystal structure of Mg3Be2Pt5 at the GGA-PBE level of DFT.

The calculation puts the formation energy from the elements at -0.811 eV/atom.

The structure belongs to space group P4/mbm (No. 127); the cell edges are 9.318, 9.318 and 3.378 Å and the angles 90.00°, 90.00° and 90.00°. The distinct sites, in fractional coordinates, are Mg at (0.000, 0.000, 0.000), Mg at (0.174, 0.326, 0.000), Be at (0.125, 0.625, 0.000), Pt at (0.000, 0.500, 0.500) and Pt at (0.073, 0.789, 0.500).



These records have DOS at the Fermi energy values of 3.3; 2.0; 18.2; 8.6; 3.1; 1.9 states/eV/f.u., in the order they appear.